Entry 1:
The following is a DFT calculation (PBE) of RbCa2CCl after structural relaxation.

Structure (POSCAR):
```
RbCa2CCl
1.0
5.3398 0.0000 0.0000
0.0000 5.3398 0.0000
0.0000 0.0000 5.8140
Rb Ca C Cl
1 2 1 1
direct
0.0000 0.0000 0.0000
0.0000 0.5000 0.5000
0.5000 0.0000 0.5000
0.5000 0.5000 0.0000
0.0000 0.0000 0.5000
```

E in eV/atom: -2.55


Entry 2:
The following is a DFT calculation (PBE) of Ca2RhCCl after structural relaxation.

Structure (POSCAR):
```
Ca2RhCCl
1.0
5.2034 0.0000 0.0000
0.0000 5.2034 0.0000
0.0000 0.0000 3.8342
Ca Rh C Cl
2 1 1 1
direct
0.0000 0.5000 0.0000
0.5000 0.0000 0.0000
0.0000 0.0000 0.5000
0.0000 0.0000 0.0000
0.5000 0.5000 0.5000
```

E in eV/atom: -5.22


Entry 3:
The following is a DFT calculation (PBE) of CaCSCl2 after structural relaxation.

Structure (POSCAR):
```
CaCSCl2
1.0
5.1543 0.0000 0.0000
0.0000 5.1543 0.0000
0.0000 0.0000 5.6353
Ca C S Cl
1 1 1 2
direct
0.0000 0.0000 0.0000
0.5000 0.5000 0.5000
0.0000 0.0000 0.5000
0.0000 0.5000 0.0000
0.5000 0.0000 0.0000
```

Relative energy among the computed polymorphs in meV per atom: 889


Entry 4:
The following is a DFT calculation (PBE) of CaCSCl2 after structural relaxation.

Structure (POSCAR):
```
CaCSCl2
1.0
4.6649 0.0000 0.0000
0.0000 4.6649 0.0000
0.0000 0.0000 4.1910
Ca C S Cl
1 1 1 2
direct
0.0000 0.0000 0.0000
0.5000 0.5000 0.5000
0.5000 0.5000 0.0000
0.0000 0.5000 0.5000
0.5000 0.0000 0.5000
```

Relative energy among the computed polymorphs in meV per atom: 0


Entry 5:
The following is a DFT calculation (PBE) of CaC2SeCl after structural relaxation.

Structure (POSCAR):
```
CaC2SeCl
1.0
5.1316 0.0000 0.0000
0.0000 5.1316 0.0000
0.0000 0.0000 5.0445
Ca C Se Cl
1 2 1 1
direct
0.0000 0.0000 0.0000
0.0000 0.5000 0.0000
0.5000 0.0000 0.0000
0.5000 0.5000 0.5000
0.0000 0.0000 0.5000
```

E in eV/atom: -3.12


Entry 6:
The following is a DFT calculation (PBE) of Ca2TeCCl after structural relaxation.

Structure (POSCAR):
```
Ca2TeCCl
1.0
5.1616 0.0000 0.0000
0.0000 5.1616 0.0000
0.0000 0.0000 4.5175
Ca Te C Cl
2 1 1 1
direct
0.0000 0.5000 0.0000
0.5000 0.0000 0.0000
0.0000 0.0000 0.5000
0.0000 0.0000 0.0000
0.5000 0.5000 0.5000
```

E in eV/atom: -4.07


Entry 7:
The following is a DFT calculation (PBE) of CaTlC2Cl after structural relaxation.

Structure (POSCAR):
```
CaTlC2Cl
1.0
4.5016 0.0000 0.0000
0.0000 4.5016 0.0000
0.0000 0.0000 5.2886
Ca Tl C Cl
1 1 2 1
direct
0.0000 0.0000 0.0000
0.5000 0.5000 0.0000
0.0000 0.5000 0.5000
0.5000 0.0000 0.5000
0.5000 0.5000 0.5000
```

E in eV/atom: -2.84


Entry 8:
The following is a DFT calculation (PBE) of Ca2CoC4 after structural relaxation.

Structure (POSCAR):
```
Ca2CoC4
1.0
-3.7114 5.2638 2.5282
3.7114 -5.2638 2.5282
3.7114 5.2638 -2.5282
Ca Co C
4 2 8
direct
0.1439 0.1693 0.3132
0.3561 0.6693 0.0254
0.6439 0.3307 0.9746
0.8561 0.8307 0.6868
0.2500 0.7500 0.5000
0.7500 0.2500 0.5000
0.0789 0.6678 0.7467
0.1314 0.8269 0.9583
0.3686 0.3269 0.6956
0.4211 0.1678 0.5889
0.5789 0.8322 0.4111
0.6314 0.6731 0.3044
0.8686 0.1731 0.0417
0.9211 0.3322 0.2533
```

Formation enthalpy at 0 K in eV/f.u.: -0.15


Entry 9:
The following is a DFT calculation (PBE) of Ca2CoC after structural relaxation.

Structure (POSCAR):
```
Ca2CoC
1.0
9.9047 0.0000 0.0000
0.0000 9.9047 0.0000
0.0000 0.0000 3.6212
Ca Co C
8 4 4
direct
0.0516 0.2500 0.1250
0.2500 0.5516 0.3750
0.2500 0.9484 0.8750
0.4484 0.2500 0.6250
0.5516 0.7500 0.6250
0.7500 0.0516 0.8750
0.7500 0.4484 0.3750
0.9484 0.7500 0.1250
0.0000 0.0000 0.5000
0.0000 0.5000 0.7500
0.5000 0.0000 0.2500
0.5000 0.5000 0.0000
0.0000 0.0000 0.0000
0.0000 0.5000 0.2500
0.5000 0.0000 0.7500
0.5000 0.5000 0.5000
```

Formation enthalpy at 0 K in eV/f.u.: -0.06


Entry 10:
The following is a DFT calculation (PBE) of CaCo2C after structural relaxation.

Structure (POSCAR):
```
CaCo2C
1.0
6.4432 0.0000 0.0000
0.0000 6.4432 0.0000
0.0000 0.0000 5.4406
Ca Co C
4 8 4
direct
0.0000 0.0000 0.0000
0.0000 0.5000 0.2500
0.5000 0.0000 0.7500
0.5000 0.5000 0.5000
0.0905 0.7500 0.6250
0.2500 0.0905 0.3750
0.2500 0.4095 0.8750
0.4095 0.7500 0.1250
0.5905 0.2500 0.1250
0.7500 0.5905 0.8750
0.7500 0.9095 0.3750
0.9095 0.2500 0.6250
0.0000 0.0000 0.5000
0.0000 0.5000 0.7500
0.5000 0.0000 0.2500
0.5000 0.5000 0.0000
```

Formation enthalpy at 0 K in eV/f.u.: 0.74


Entry 11:
The following is a DFT calculation (PBE) of CaCo2C after structural relaxation.

Structure (POSCAR):
```
CaCo2C
1.0
3.4692 0.0000 0.0000
-1.7346 3.0044 0.0000
0.0000 0.0000 15.8975
Ca Co C
3 6 3
direct
0.0000 0.0000 0.0000
0.3333 0.6667 0.6667
0.6667 0.3333 0.3333
0.0000 0.0000 0.1975
0.0000 0.0000 0.8025
0.3333 0.6667 0.4692
0.3333 0.6667 0.8641
0.6667 0.3333 0.1359
0.6667 0.3333 0.5308
0.0000 0.0000 0.5000
0.3333 0.6667 0.1667
0.6667 0.3333 0.8333
```

Formation enthalpy at 0 K in eV/f.u.: 1.33


Entry 12:
The following is a DFT calculation (PBE) of Ca2CoCuC after structural relaxation.

Structure (POSCAR):
```
Ca2CoCuC
1.0
5.0820 0.0000 0.0000
0.0000 5.0820 0.0000
0.0000 0.0000 3.5951
Ca Co Cu C
2 1 1 1
direct
0.0000 0.5000 0.0000
0.5000 0.0000 0.0000
0.0000 0.0000 0.5000
0.5000 0.5000 0.5000
0.0000 0.0000 0.0000
```

Formation enthalpy at 0 K in eV/f.u.: 0.01


Entry 13:
The following is a DFT calculation (PBE) of CaFeCoC2 after structural relaxation.

Structure (POSCAR):
```
CaFeCoC2
1.0
3.4252 0.0000 0.0000
0.0000 3.4252 0.0000
0.0000 0.0000 10.0075
Ca Fe Co C
2 2 2 4
direct
0.0000 0.0000 0.0000
0.5000 0.5000 0.5000
0.0000 0.5000 0.2500
0.5000 0.0000 0.7500
0.0000 0.5000 0.7500
0.5000 0.0000 0.2500
0.0000 0.0000 0.3370
0.0000 0.0000 0.6630
0.5000 0.5000 0.1630
0.5000 0.5000 0.8370
```

Formation enthalpy at 0 K in eV/f.u.: -0.43


Entry 14:
The following is a DFT calculation (PBE) of Ca2GaCoC after structural relaxation.

Structure (POSCAR):
```
Ca2GaCoC
1.0
5.0952 0.0000 0.0000
0.0000 5.0952 0.0000
0.0000 0.0000 3.6411
Ca Ga Co C
2 1 1 1
direct
0.0000 0.5000 0.0000
0.5000 0.0000 0.0000
0.0000 0.0000 0.5000
0.5000 0.5000 0.5000
0.5000 0.5000 0.0000
```

Formation enthalpy at 0 K in eV/f.u.: -0.59


Entry 15:
The following is a DFT calculation (PBE) of Ca2CoHgC after structural relaxation.

Structure (POSCAR):
```
Ca2CoHgC
1.0
5.1994 0.0000 0.0000
0.0000 5.1994 0.0000
0.0000 0.0000 3.6478
Ca Co Hg C
2 1 1 1
direct
0.0000 0.5000 0.0000
0.5000 0.0000 0.0000
0.0000 0.0000 0.5000
0.5000 0.5000 0.5000
0.0000 0.0000 0.0000
```

Formation enthalpy at 0 K in eV/f.u.: -0.97


Entry 16:
The following is a DFT calculation (PBE) of Ca2InCoC after structural relaxation.

Structure (POSCAR):
```
Ca2InCoC
1.0
5.1992 0.0000 0.0000
0.0000 5.1992 0.0000
0.0000 0.0000 3.6815
Ca In Co C
2 1 1 1
direct
0.0000 0.5000 0.0000
0.5000 0.0000 0.0000
0.0000 0.0000 0.5000
0.5000 0.5000 0.5000
0.5000 0.5000 0.0000
```

Formation enthalpy at 0 K in eV/f.u.: -0.47


Entry 17:
The following is a DFT calculation (PBE) of LiCaCo2C after structural relaxation.

Structure (POSCAR):
```
LiCaCo2C
1.0
3.8149 0.0000 0.0000
0.0000 3.8149 0.0000
0.0000 0.0000 4.2890
Li Ca Co C
1 1 2 1
direct
0.0000 0.0000 0.0000
0.5000 0.5000 0.0000
0.0000 0.5000 0.5000
0.5000 0.0000 0.5000
0.0000 0.0000 0.5000
```

Formation enthalpy at 0 K in eV/f.u.: 0.12


Entry 18:
The following is a DFT calculation (PBE) of CaMgCoC after structural relaxation.

Structure (POSCAR):
```
CaMgCoC
1.0
3.5427 0.0000 0.0000
0.0000 3.5427 0.0000
0.0000 0.0000 10.8670
Ca Mg Co C
2 2 2 2
direct
0.2500 0.2500 0.2165
0.7500 0.7500 0.7835
0.2500 0.7500 0.5000
0.7500 0.2500 0.5000
0.2500 0.7500 0.0000
0.7500 0.2500 0.0000
0.2500 0.2500 0.9131
0.7500 0.7500 0.0869
```

Formation enthalpy at 0 K in eV/f.u.: 0.70


Entry 19:
The following is a DFT calculation (PBE) of Ca2MgCoC after structural relaxation.

Structure (POSCAR):
```
Ca2MgCoC
1.0
5.2243 0.0000 0.0000
0.0000 5.2243 0.0000
0.0000 0.0000 3.6717
Ca Mg Co C
2 1 1 1
direct
0.0000 0.5000 0.0000
0.5000 0.0000 0.0000
0.0000 0.0000 0.5000
0.5000 0.5000 0.5000
0.5000 0.5000 0.0000
```

Formation enthalpy at 0 K in eV/f.u.: 0.13


Entry 20:
The following is a DFT calculation (PBE) of CaMnCoC2 after structural relaxation.

Structure (POSCAR):
```
CaMnCoC2
1.0
3.5033 0.0000 0.0000
0.0000 3.5033 0.0000
0.0000 0.0000 9.8547
Ca Mn Co C
2 2 2 4
direct
0.0000 0.0000 0.0000
0.5000 0.5000 0.5000
0.0000 0.5000 0.2500
0.5000 0.0000 0.7500
0.0000 0.5000 0.7500
0.5000 0.0000 0.2500
0.0000 0.0000 0.3296
0.0000 0.0000 0.6704
0.5000 0.5000 0.1704
0.5000 0.5000 0.8296
```

Relative energy among the computed polymorphs in meV per atom: 0
Formation enthalpy at 0 K in eV/f.u.: -0.55


Entry 21:
The following is a DFT calculation (PBE) of CaMnCoC2 after structural relaxation.

Structure (POSCAR):
```
CaMnCoC2
1.0
3.8247 0.0000 0.0000
0.0000 3.8247 0.0000
0.0000 0.0000 4.9213
Ca Mn Co C
1 1 1 2
direct
0.0000 0.0000 0.0000
0.5000 0.5000 0.0000
0.0000 0.0000 0.5000
0.0000 0.5000 0.5000
0.5000 0.0000 0.5000
```

Relative energy among the computed polymorphs in meV per atom: 1695
Formation enthalpy at 0 K in eV/f.u.: 7.93